Arrangement P

LiGeBi: optimized geometry, PBE-GGA.

a = 3.215 Å, b = 3.230 Å, c = 13.490 Å
α = 96.88°, β = 90.00°, γ = 90.00°
Sites, in units of the cell vectors:
1 Li 0.000 0.647 0.294
2 Li 0.000 0.353 0.706
3 Ge 0.500 0.789 0.578
4 Ge 0.500 0.211 0.422
5 Bi 0.500 0.938 0.877
6 Bi 0.500 0.062 0.123

Output
Fermi-level density of states = 0.53 states/eV/atom
Crystal system = orthorhombic

***

Arrangement Q

LiGeBi: optimized geometry, PBE-GGA.

a = 4.595 Å, b = 4.595 Å, c = 4.595 Å
α = 60.00°, β = 60.00°, γ = 60.00°
Sites, in units of the cell vectors:
1 Ge 0.000 0.000 0.000
2 Bi 0.500 0.500 0.500
3 Li 0.250 0.250 0.250

Output
Fermi-level density of states = 0.29 states/eV/atom
Crystal system = cubic

***

Of them, arrangement P has the highest stability.

***

Arrangement P

LiGeBi: optimized geometry, PBE-GGA.

a = 4.289 Å, b = 4.746 Å, c = 7.280 Å
α = 90.00°, β = 107.13°, γ = 90.00°
Sites, in units of the cell vectors:
1 Ge 0.448 0.750 0.896
2 Ge 0.552 0.250 0.104
3 Bi 0.806 0.750 0.612
4 Bi 0.194 0.250 0.388
5 Li 0.929 0.250 0.858
6 Li 0.071 0.750 0.142

Output
Fermi-level density of states = 0.14 states/eV/atom
Crystal system = orthorhombic

***

Arrangement Q

LiGeBi: optimized geometry, PBE-GGA.

a = 3.302 Å, b = 5.082 Å, c = 5.082 Å
α = 120.00°, β = 90.00°, γ = 90.00°
Sites, in units of the cell vectors:
1 Ge 0.169 0.000 0.000
2 Bi 0.165 0.333 0.667
3 Li 0.666 0.667 0.333

Output
Fermi-level density of states = 0.50 states/eV/atom
Crystal system = trigonal

***

Of them, arrangement P has the highest stability.

***

Arrangement P

LiGeBi3: optimized geometry, PBE-GGA.

a = 5.172 Å, b = 5.172 Å, c = 5.172 Å
α = 90.00°, β = 90.00°, γ = 90.00°
Sites, in units of the cell vectors:
1 Ge 0.500 0.500 0.500
2 Bi 0.000 0.500 0.000
3 Bi 0.000 0.000 0.500
4 Bi 0.500 0.000 0.000
5 Li 0.000 0.000 0.000

Output
Fermi-level density of states = 0.60 states/eV/atom
Crystal system = cubic

***

Arrangement Q

LiGeBi3: optimized geometry, PBE-GGA.

a = 5.601 Å, b = 5.601 Å, c = 5.601 Å
α = 90.00°, β = 90.00°, γ = 90.00°
Sites, in units of the cell vectors:
1 Ge 0.000 0.000 0.000
2 Bi 0.000 0.500 0.000
3 Bi 0.000 0.000 0.500
4 Bi 0.500 0.000 0.000
5 Li 0.500 0.500 0.500

Output
Fermi-level density of states = 0.72 states/eV/atom
Crystal system = cubic

***

Of them, arrangement P has the highest stability.

***

Arrangement P

Li3GeBi: optimized geometry, PBE-GGA.

a = 5.134 Å, b = 5.134 Å, c = 5.134 Å
α = 90.00°, β = 90.00°, γ = 90.00°
Sites, in units of the cell vectors:
1 Ge 0.500 0.500 0.500
2 Bi 0.000 0.000 0.000
3 Li 0.000 0.500 0.000
4 Li 0.000 0.000 0.500
5 Li 0.500 0.000 0.000

Output
Fermi-level density of states = 0.45 states/eV/atom
Crystal system = cubic

***

Arrangement Q

Li3GeBi: optimized geometry, PBE-GGA.

a = 3.831 Å, b = 6.584 Å, c = 8.698 Å
α = 95.38°, β = 90.12°, γ = 106.30°
Sites, in units of the cell vectors:
1 Li 0.071 0.179 0.402
2 Li 0.417 0.880 0.596
3 Li 0.627 0.274 0.825
4 Li 0.973 0.975 0.020
5 Li 0.274 0.576 0.970
6 Li 0.770 0.578 0.452
7 Ge 0.216 0.461 0.656
8 Ge 0.828 0.693 0.766
9 Bi 0.399 0.837 0.259
10 Bi 0.646 0.317 0.163

Output
Fermi-level density of states = 0.22 states/eV/atom
Crystal system = triclinic

***

Arrangement R

Li3GeBi: optimized geometry, PBE-GGA.

a = 4.779 Å, b = 4.779 Å, c = 4.779 Å
α = 90.00°, β = 90.00°, γ = 90.00°
Sites, in units of the cell vectors:
1 Ge 0.000 0.000 0.000
2 Bi 0.500 0.500 0.500
3 Li 0.000 0.500 0.000
4 Li 0.000 0.000 0.500
5 Li 0.500 0.000 0.000

Output
Fermi-level density of states = 0.44 states/eV/atom
Crystal system = cubic

***

Of them, arrangement Q has the highest stability.